Here is crystalline NaTaCr2O8 at its relaxed geometry from the Alexandria database. Energies are from PBE with a Hubbard U.

Cell: 5.7377 5.7377 5.7377 Å, 106.93 106.93 114.69°
Atoms (fractional coordinates):
Na  0.0000  0.0000  0.0000
Ta  0.7500  0.2500  0.5000
Cr  0.2500  0.7500  0.5000
Cr  0.5000  0.5000  0.0000
O  0.0736  0.3906  0.3170
O  0.0736  0.7566  0.6830
O  0.1172  0.3365  0.7807
O  0.2434  0.9264  0.3170
O  0.5558  0.3365  0.2193
O  0.6094  0.9264  0.6830
O  0.6635  0.4442  0.7807
O  0.6635  0.8828  0.2193

Calculated values
The value obtained for the total magnetic moment is 2.0 μB/f.u. For the density, the calculation gives 5.01 g/cm³. The calculation puts the electronic total energy at -88.309 eV per formula unit.